1.
VASP calculation (PBE-GGA) on crystalline Li2MnRe at its relaxed geometry.

**Total magnetic moment**: 3.5 μB per cell
**Crystal system**: tetragonal
**V**: 53.4 Å³/cell
**Total DFT energy (no corrections)**: -5.70 eV/atom
**Fermi-level density of states**: 0.67 states/eV/atom
**Symmetry**: No. 123
**Formation energy**: 0.6643 eV/atom

Cell lengths 4.564, 4.564, 2.566 Å; angles 90.00, 90.00, 90.00 degrees
Fractional positions:
Re 0.000 0.500 0.500
Li 0.500 0.500 0.000
Li 0.000 0.000 0.000
Mn 0.500 0.000 0.500


2.
VASP calculation (PBE-GGA) on crystalline Li2MnRe at its relaxed geometry.

**Total magnetic moment**: 0.0 μB per cell
**Crystal system**: tetragonal
**V**: 51.6 Å³/cell
**Total DFT energy (no corrections)**: -5.99 eV/atom
**Fermi-level density of states**: 0.40 states/eV/atom
**Symmetry**: No. 123
**Formation energy**: 0.3750 eV/atom

Cell lengths 4.522, 3.378, 3.378 Å; angles 90.00, 90.00, 90.00 degrees
Fractional positions:
Mn 0.500 0.500 0.000
Li 0.000 0.500 0.500
Re 0.500 0.000 0.500
Li 0.000 0.000 0.000


3.
VASP calculation (PBE-GGA) on crystalline LiMn2Re at its relaxed geometry.

**Total magnetic moment**: 2.5 μB per cell
**Crystal system**: monoclinic
**V**: 49.4 Å³/cell
**Total DFT energy (no corrections)**: -7.91 eV/atom
**Fermi-level density of states**: 0.90 states/eV/atom
**Symmetry**: No. 6
**Formation energy**: 0.2603 eV/atom

Cell lengths 4.105, 2.530, 4.836 Å; angles 79.37, 90.00, 90.00 degrees
Fractional positions:
Li 0.500 0.771 0.759
Re 0.000 0.489 0.498
Mn 0.000 0.977 0.993
Mn 0.500 0.263 0.250